*1*
The following is a PBE calculation of SbRhSe4 after structural relaxation, from the Alexandria database.

```
data_SbRhSe4
_chemical_formula_sum 'Sb1 Rh1 Se4'
_cell_length_a 5.652
_cell_length_b 5.652
_cell_length_c 5.652
_cell_angle_alpha 60.00
_cell_angle_beta 60.00
_cell_angle_gamma 60.00
_space_group_name_H-M_alt 'P 1'
_space_group_IT_number 1
_space_group_name_Hall 'P 1'
loop_
_atom_site_label
_atom_site_type_symbol
_atom_site_fract_x
_atom_site_fract_y
_atom_site_fract_z
_atom_site_occupancy
Sb1 Sb 0.000 0.000 0.000 1
Rh1 Rh 0.250 0.250 0.250 1
Se1 Se 0.130 0.623 0.623 1
Se2 Se 0.623 0.130 0.623 1
Se3 Se 0.623 0.623 0.130 1
Se4 Se 0.623 0.623 0.623 1
```

Calculated values
volume: 128 Å³/cell
DOS(E_F): 6.8 states/eV/f.u.

*2*
The following is a PBE calculation of SbRhSe4 after structural relaxation, from the Alexandria database.

```
data_SbRhSe4
_chemical_formula_sum 'Sb1 Rh1 Se4'
_cell_length_a 6.544
_cell_length_b 6.544
_cell_length_c 6.551
_cell_angle_alpha 99.58
_cell_angle_beta 99.58
_cell_angle_gamma 33.71
_space_group_name_H-M_alt 'P 1'
_space_group_IT_number 1
_space_group_name_Hall 'P 1'
loop_
_atom_site_label
_atom_site_type_symbol
_atom_site_fract_x
_atom_site_fract_y
_atom_site_fract_z
_atom_site_occupancy
Sb1 Sb 0.000 0.000 0.000 1
Rh1 Rh 0.500 0.500 0.500 1
Se1 Se 0.110 0.110 0.389 1
Se2 Se 0.378 0.378 0.152 1
Se3 Se 0.622 0.622 0.848 1
Se4 Se 0.890 0.890 0.611 1
```

Calculated values
volume: 153 Å³/cell

It is *2* that is the most stable of them.

*1*
The following is a PBE calculation of Si2SbRh2 after structural relaxation, from the Alexandria database.

```
data_Si2SbRh2
_chemical_formula_sum 'Si2 Sb1 Rh2'
_cell_length_a 6.627
_cell_length_b 6.627
_cell_length_c 6.627
_cell_angle_alpha 147.57
_cell_angle_beta 147.57
_cell_angle_gamma 46.52
_space_group_name_H-M_alt 'P 1'
_space_group_IT_number 1
_space_group_name_Hall 'P 1'
loop_
_atom_site_label
_atom_site_type_symbol
_atom_site_fract_x
_atom_site_fract_y
_atom_site_fract_z
_atom_site_occupancy
Si1 Si 0.250 0.750 0.500 1
Si2 Si 0.750 0.250 0.500 1
Sb1 Sb 0.000 0.000 0.000 1
Rh1 Rh 0.373 0.373 0.000 1
Rh2 Rh 0.627 0.627 0.000 1
```

Calculated values
volume: 83 Å³/cell
DOS(E_F): 2.0 states/eV/f.u.

*2*
The following is a PBE calculation of Si2SbRh2 after structural relaxation, from the Alexandria database.

```
data_Si2SbRh2
_chemical_formula_sum 'Si4 Sb2 Rh4'
_cell_length_a 7.427
_cell_length_b 7.427
_cell_length_c 2.849
_cell_angle_alpha 90.00
_cell_angle_beta 90.00
_cell_angle_gamma 90.00
_space_group_name_H-M_alt 'P 1'
_space_group_IT_number 1
_space_group_name_Hall 'P 1'
loop_
_atom_site_label
_atom_site_type_symbol
_atom_site_fract_x
_atom_site_fract_y
_atom_site_fract_z
_atom_site_occupancy
Si1 Si 0.141 0.359 0.000 1
Si2 Si 0.359 0.859 0.000 1
Si3 Si 0.641 0.141 0.000 1
Si4 Si 0.859 0.641 0.000 1
Sb1 Sb 0.000 0.000 0.500 1
Sb2 Sb 0.500 0.500 0.500 1
Rh1 Rh 0.143 0.643 0.500 1
Rh2 Rh 0.357 0.143 0.500 1
Rh3 Rh 0.643 0.857 0.500 1
Rh4 Rh 0.857 0.357 0.500 1
```

Calculated values
volume: 157 Å³/cell
DOS(E_F): 2.2 states/eV/f.u.

It is *1* that is the most stable of them.

*1*
The following is a PBE calculation of SmSbRh4 after structural relaxation, from the Alexandria database.

```
data_SmSbRh4
_chemical_formula_sum 'Sm2 Sb2 Rh8'
_cell_length_a 7.664
_cell_length_b 4.083
_cell_length_c 7.037
_cell_angle_alpha 90.00
_cell_angle_beta 90.00
_cell_angle_gamma 90.00
_space_group_name_H-M_alt 'P 1'
_space_group_IT_number 1
_space_group_name_Hall 'P 1'
loop_
_atom_site_label
_atom_site_type_symbol
_atom_site_fract_x
_atom_site_fract_y
_atom_site_fract_z
_atom_site_occupancy
Sm1 Sm 0.250 0.000 0.167 1
Sm2 Sm 0.750 0.000 0.833 1
Sb1 Sb 0.250 0.000 0.737 1
Sb2 Sb 0.750 0.000 0.263 1
Rh1 Rh 0.000 0.000 0.500 1
Rh2 Rh 0.041 0.500 0.800 1
Rh3 Rh 0.250 0.500 0.455 1
Rh4 Rh 0.459 0.500 0.800 1
Rh5 Rh 0.500 0.000 0.500 1
Rh6 Rh 0.541 0.500 0.200 1
Rh7 Rh 0.750 0.500 0.545 1
Rh8 Rh 0.959 0.500 0.200 1
```

Calculated values
volume: 220 Å³/cell
DOS(E_F): 7.1 states/eV/f.u.

*2*
The following is a PBE calculation of SmSbRh4 after structural relaxation, from the Alexandria database.

```
data_SmSbRh4
_chemical_formula_sum 'Sm1 Sb1 Rh4'
_cell_length_a 5.335
_cell_length_b 5.335
_cell_length_c 5.335
_cell_angle_alpha 60.00
_cell_angle_beta 60.00
_cell_angle_gamma 60.00
_space_group_name_H-M_alt 'P 1'
_space_group_IT_number 1
_space_group_name_Hall 'P 1'
loop_
_atom_site_label
_atom_site_type_symbol
_atom_site_fract_x
_atom_site_fract_y
_atom_site_fract_z
_atom_site_occupancy
Sm1 Sm 0.000 0.000 0.000 1
Sb1 Sb 0.750 0.750 0.750 1
Rh1 Rh 0.376 0.376 0.376 1
Rh2 Rh 0.376 0.376 0.872 1
Rh3 Rh 0.376 0.872 0.376 1
Rh4 Rh 0.872 0.376 0.376 1
```

Calculated values
volume: 107 Å³/cell
DOS(E_F): 3.8 states/eV/f.u.

It is *2* that is the most stable of them.

*1*
The following is a PBE calculation of SnSbRh2 after structural relaxation, from the Alexandria database.

```
data_SnSbRh2
_chemical_formula_sum 'Sn4 Sb4 Rh8'
_cell_length_a 7.864
_cell_length_b 6.561
_cell_length_c 5.878
_cell_angle_alpha 90.00
_cell_angle_beta 90.01
_cell_angle_gamma 90.00
_space_group_name_H-M_alt 'P 1'
_space_group_IT_number 1
_space_group_name_Hall 'P 1'
loop_
_atom_site_label
_atom_site_type_symbol
_atom_site_fract_x
_atom_site_fract_y
_atom_site_fract_z
_atom_site_occupancy
Sn1 Sn 0.122 0.094 0.200 1
Sn2 Sn 0.122 0.406 0.700 1
Sn3 Sn 0.878 0.594 0.300 1
Sn4 Sn 0.878 0.906 0.800 1
Sb1 Sb 0.372 0.583 0.303 1
Sb2 Sb 0.372 0.917 0.803 1
Sb3 Sb 0.628 0.083 0.197 1
Sb4 Sb 0.628 0.417 0.697 1
Rh1 Rh 0.132 0.703 0.006 1
Rh2 Rh 0.132 0.797 0.506 1
Rh3 Rh 0.383 0.204 0.493 1
Rh4 Rh 0.383 0.296 0.993 1
Rh5 Rh 0.617 0.704 0.007 1
Rh6 Rh 0.617 0.796 0.507 1
Rh7 Rh 0.868 0.203 0.494 1
Rh8 Rh 0.868 0.297 0.994 1
```

Calculated values
volume: 303 Å³/cell
DOS(E_F): 1.6 states/eV/f.u.

*2*
The following is a PBE calculation of SnSbRh2 after structural relaxation, from the Alexandria database.

```
data_SnSbRh2
_chemical_formula_sum 'Sn2 Sb2 Rh4'
_cell_length_a 7.275
_cell_length_b 7.275
_cell_length_c 7.275
_cell_angle_alpha 132.23
_cell_angle_beta 132.23
_cell_angle_gamma 69.87
_space_group_name_H-M_alt 'P 1'
_space_group_IT_number 1
_space_group_name_Hall 'P 1'
loop_
_atom_site_label
_atom_site_type_symbol
_atom_site_fract_x
_atom_site_fract_y
_atom_site_fract_z
_atom_site_occupancy
Sn1 Sn 0.000 0.000 0.000 1
Sn2 Sn 0.750 0.250 0.500 1
Sb1 Sb 0.250 0.750 0.500 1
Sb2 Sb 0.500 0.500 0.000 1
Rh1 Rh 0.131 0.625 0.006 1
Rh2 Rh 0.375 0.381 0.506 1
Rh3 Rh 0.619 0.125 0.994 1
Rh4 Rh 0.875 0.869 0.494 1
```

Calculated values
volume: 207 Å³/cell
DOS(E_F): 2.4 states/eV/f.u.

*3*
The following is a PBE calculation of SnSbRh2 after structural relaxation, from the Alexandria database.

```
data_SnSbRh2
_chemical_formula_sum 'Sn1 Sb1 Rh2'
_cell_length_a 4.646
_cell_length_b 4.646
_cell_length_c 4.646
_cell_angle_alpha 60.00
_cell_angle_beta 60.00
_cell_angle_gamma 60.00
_space_group_name_H-M_alt 'P 1'
_space_group_IT_number 1
_space_group_name_Hall 'P 1'
loop_
_atom_site_label
_atom_site_type_symbol
_atom_site_fract_x
_atom_site_fract_y
_atom_site_fract_z
_atom_site_occupancy
Sn1 Sn 0.000 0.000 0.000 1
Sb1 Sb 0.500 0.500 0.500 1
Rh1 Rh 0.250 0.250 0.250 1
Rh2 Rh 0.750 0.750 0.750 1
```

Calculated values
volume: 71 Å³/cell
DOS(E_F): 2.6 states/eV/f.u.

It is *1* that is the most stable of them.

*1*
The following is a PBE calculation of Sr4SbRh after structural relaxation, from the Alexandria database.

```
data_Sr4SbRh
_chemical_formula_sum 'Sr4 Sb1 Rh1'
_cell_length_a 6.593
_cell_length_b 6.593
_cell_length_c 6.593
_cell_angle_alpha 60.00
_cell_angle_beta 60.00
_cell_angle_gamma 60.00
_space_group_name_H-M_alt 'P 1'
_space_group_IT_number 1
_space_group_name_Hall 'P 1'
loop_
_atom_site_label
_atom_site_type_symbol
_atom_site_fract_x
_atom_site_fract_y
_atom_site_fract_z
_atom_site_occupancy
Sr1 Sr 0.125 0.125 0.125 1
Sr2 Sr 0.125 0.125 0.626 1
Sr3 Sr 0.125 0.626 0.125 1
Sr4 Sr 0.626 0.125 0.125 1
Sb1 Sb 0.500 0.500 0.500 1
Rh1 Rh 0.750 0.750 0.750 1
```

Calculated values
volume: 203 Å³/cell
DOS(E_F): 2.1 states/eV/f.u.

*2*
The following is a PBE calculation of Sr4SbRh after structural relaxation, from the Alexandria database.

```
data_Sr4SbRh
_chemical_formula_sum 'Sr8 Sb2 Rh2'
_cell_length_a 8.875
_cell_length_b 8.875
_cell_length_c 6.940
_cell_angle_alpha 106.60
_cell_angle_beta 106.60
_cell_angle_gamma 111.46
_space_group_name_H-M_alt 'P 1'
_space_group_IT_number 1
_space_group_name_Hall 'P 1'
loop_
_atom_site_label
_atom_site_type_symbol
_atom_site_fract_x
_atom_site_fract_y
_atom_site_fract_z
_atom_site_occupancy
Sr1 Sr 0.055 0.712 0.917 1
Sr2 Sr 0.222 0.343 0.702 1
Sr3 Sr 0.288 0.945 0.583 1
Sr4 Sr 0.343 0.222 0.202 1
Sr5 Sr 0.657 0.778 0.798 1
Sr6 Sr 0.712 0.055 0.417 1
Sr7 Sr 0.778 0.657 0.298 1
Sr8 Sr 0.945 0.288 0.083 1
Sb1 Sb 0.366 0.634 0.250 1
Sb2 Sb 0.634 0.366 0.750 1
Rh1 Rh 0.000 0.000 0.250 1
Rh2 Rh 0.000 0.000 0.750 1
```

Calculated values
volume: 438 Å³/cell
DOS(E_F): 3.0 states/eV/f.u.

It is *2* that is the most stable of them.